Density functional theory data (PBE-GGA) for a relaxed structure of La2CeDyN4.

## Properties
As for the crystal system: monoclinic. The raw formation energy is -1.456 eV per atom.

a = 6.242 Å, b = 3.623 Å, c = 6.313 Å
α = 90.00°, β = 109.19°, γ = 90.00°
Space group P2/m (No. 10)
Inequivalent atoms, fractional coordinates:
La  0.000  0.000  0.000 (multiplicity 1)
La  0.500  0.500  0.000 (multiplicity 1)
Ce  0.000  0.500  0.500 (multiplicity 1)
Dy  0.500  0.000  0.500 (multiplicity 1)
N  0.241  0.000  0.728 (multiplicity 2)
N  0.253  0.500  0.270 (multiplicity 2)

---

Density functional theory data (PBE-GGA) for a relaxed structure of MnMo2IrCl.

## Properties
As for the crystal system: tetragonal. The raw formation energy is 1.136 eV per atom.

a = 4.394 Å, b = 4.394 Å, c = 4.407 Å
α = 90.00°, β = 90.00°, γ = 90.00°
Space group P4/mmm (No. 123)
Inequivalent atoms, fractional coordinates:
Mn  0.000  0.000  0.000 (multiplicity 1)
Mo  0.000  0.500  0.500 (multiplicity 2)
Ir  0.500  0.500  0.000 (multiplicity 1)
Cl  0.500  0.500  0.500 (multiplicity 1)

---

Density functional theory data (PBE-GGA) for a relaxed structure of BaLa2Cu2.

## Properties
The calculation puts the formation energy at 0.04 eV/atom. As for the crystal system: tetragonal. As for the energy above the most stable polymorph in this dataset: 16 kJ/mol of formula units.

a = 5.052 Å, b = 5.052 Å, c = 11.881 Å
α = 90.00°, β = 90.00°, γ = 90.00°
Space group I4/mmm (No. 139)
Inequivalent atoms, fractional coordinates:
Ba  0.000  0.000  0.000 (multiplicity 2)
La  0.000  0.500  0.250 (multiplicity 4)
Cu  0.000  0.000  0.396 (multiplicity 4)

---

Density functional theory data (PBE-GGA) for a relaxed structure of CuSiTeN2.

## Properties
As for the crystal system: tetragonal. As for the energy above the most stable polymorph in this dataset: 529 kJ/mol of formula units. The raw formation energy is 1.731 eV per atom.

a = 3.920 Å, b = 3.920 Å, c = 5.581 Å
α = 90.00°, β = 90.00°, γ = 90.00°
Space group P4/mmm (No. 123)
Inequivalent atoms, fractional coordinates:
Cu  0.000  0.000  0.000 (multiplicity 1)
Si  0.500  0.500  0.000 (multiplicity 1)
Te  0.500  0.500  0.500 (multiplicity 1)
N  0.000  0.500  0.500 (multiplicity 2)

---

Density functional theory data (PBE-GGA) for a relaxed structure of CrRhW2.

## Properties
The calculation puts the formation energy at 0.27 eV/atom. As for the crystal system: trigonal. As for the energy above the most stable polymorph in this dataset: 70 kJ/mol of formula units.

a = 2.7756 Å, b = 2.7756 Å, c = 26.9983 Å
α = 90.00°, β = 90.00°, γ = 120.00°
Space group R-3m (No. 166, hexagonal axes)
Inequivalent atoms, fractional coordinates:
Cr  0.0000  0.0000  0.0000 (multiplicity 3)
Rh  0.0000  0.0000  0.5000 (multiplicity 3)
W  0.0000  0.0000  0.2501 (multiplicity 6)

---

Density functional theory data (PBE-GGA) for a relaxed structure of ZrH5.

## Properties
As for the crystal system: orthorhombic. The calculation puts the total energy at -25.28 eV per formula unit.

a = 3.301 Å, b = 6.899 Å, c = 3.297 Å
α = 90.00°, β = 90.00°, γ = 90.00°
Space group Cmmm (No. 65)
Inequivalent atoms, fractional coordinates:
Zr  0.000  0.000  0.000 (multiplicity 2)
H  0.000  0.159  0.500 (multiplicity 4)
H  0.000  0.310  0.000 (multiplicity 4)
H  0.000  0.500  0.500 (multiplicity 2)

---

Density functional theory data (PBE-GGA) for a relaxed structure of Ag2Sb.

## Properties
As for the crystal system: monoclinic. As for the energy above the most stable polymorph in this dataset: 3 kJ/mol of formula units. The raw formation energy is 0.074 eV per atom.

a = 11.191 Å, b = 3.227 Å, c = 7.145 Å
α = 90.00°, β = 91.69°, γ = 90.00°
Space group Cm (No. 8)
Inequivalent atoms, fractional coordinates:
Ag  0.000  0.000  0.000 (multiplicity 2)
Ag  0.113  0.500  0.296 (multiplicity 2)
Ag  0.235  0.500  0.946 (multiplicity 2)
Ag  0.384  0.000  0.689 (multiplicity 2)
Sb  0.114  0.000  0.646 (multiplicity 2)
Sb  0.350  0.000  0.266 (multiplicity 2)

---

Density functional theory data (PBE-GGA) for a relaxed structure of Ac6Rh2Se3S.

## Properties
As for the crystal system: monoclinic. The raw formation energy is -1.488 eV per atom.

a = 7.579 Å, b = 13.122 Å, c = 7.976 Å
α = 90.00°, β = 108.69°, γ = 90.00°
Space group C2/m (No. 12)
Inequivalent atoms, fractional coordinates:
Ac  0.231  0.000  0.229 (multiplicity 4)
Ac  0.247  0.327  0.227 (multiplicity 8)
Rh  0.000  0.168  0.000 (multiplicity 4)
Se  0.000  0.000  0.500 (multiplicity 2)
Se  0.000  0.338  0.500 (multiplicity 4)
S  0.000  0.500  0.000 (multiplicity 2)

---

Density functional theory data (PBE-GGA) for a relaxed structure of CeAgHgCl6.

## Properties
As for the crystal system: monoclinic. The raw formation energy is -1.238 eV per atom.

a = 6.818 Å, b = 11.818 Å, c = 6.313 Å
α = 90.00°, β = 90.09°, γ = 90.00°
Space group C2 (No. 5)
Inequivalent atoms, fractional coordinates:
Ce  0.000  0.000  0.000 (multiplicity 2)
Ag  0.000  0.334  0.000 (multiplicity 2)
Hg  0.000  0.667  0.500 (multiplicity 2)
Cl  0.164  0.165  0.248 (multiplicity 4)
Cl  0.166  0.836  0.248 (multiplicity 4)
Cl  0.171  0.500  0.248 (multiplicity 4)

---

Density functional theory data (PBE-GGA) for a relaxed structure of AcZnAsN.

## Properties
As for the crystal system: hexagonal. The raw formation energy is -0.651 eV per atom.

a = 4.1622 Å, b = 4.1622 Å, c = 11.8171 Å
α = 90.00°, β = 90.00°, γ = 120.00°
Space group P6_3mc (No. 186)
Inequivalent atoms, fractional coordinates:
Ac  0.3333  0.6667  0.0000 (multiplicity 2)
Zn  0.0000  0.0000  0.2821 (multiplicity 2)
As  0.3333  0.6667  0.7061 (multiplicity 2)
N  0.0000  0.0000  0.4486 (multiplicity 2)

---

Density functional theory data (PBE-GGA) for a relaxed structure of Pr16Sm6Er7.

## Properties
The calculation puts the formation energy at 0.20 eV/atom. As for the crystal system: cubic.

a = 16.041 Å, b = 16.041 Å, c = 16.041 Å
α = 90.00°, β = 90.00°, γ = 90.00°
Space group Fm-3m (No. 225)
Inequivalent atoms, fractional coordinates:
Pr  0.122  0.122  0.122 (multiplicity 32)
Pr  0.153  0.153  0.347 (multiplicity 32)
Sm  0.000  0.000  0.290 (multiplicity 24)
Er  0.000  0.000  0.000 (multiplicity 4)
Er  0.000  0.250  0.250 (multiplicity 24)

---

Density functional theory data (PBE-GGA) for a relaxed structure of Ac6ZnSi2Br3.

## Properties
As for the crystal system: monoclinic. The raw formation energy is -0.924 eV per atom.

a = 20.107 Å, b = 4.555 Å, c = 9.296 Å
α = 90.00°, β = 102.82°, γ = 90.00°
Space group C2/m (No. 12)
Inequivalent atoms, fractional coordinates:
Ac  0.008  0.000  0.236 (multiplicity 4)
Ac  0.163  0.500  0.103 (multiplicity 4)
Ac  0.174  0.500  0.563 (multiplicity 4)
Zn  0.000  0.500  0.000 (multiplicity 2)
Si  0.168  0.000  0.333 (multiplicity 4)
Br  0.000  0.500  0.500 (multiplicity 2)
Br  0.167  0.000  0.829 (multiplicity 4)

---

Density functional theory data (PBE-GGA) for a relaxed structure of Zn2CoIr.

## Properties
The calculation puts the formation energy at 0.01 eV/atom. As for the crystal system: trigonal.

a = 2.7101 Å, b = 2.7101 Å, c = 25.8438 Å
α = 90.00°, β = 90.00°, γ = 120.00°
Space group R3m (No. 160, hexagonal axes)
Inequivalent atoms, fractional coordinates:
Zn  0.0000  0.0000  0.0000 (multiplicity 3)
Zn  0.0000  0.0000  0.2419 (multiplicity 3)
Co  0.0000  0.0000  0.7451 (multiplicity 3)
Ir  0.0000  0.0000  0.4897 (multiplicity 3)

---

Density functional theory data (PBE-GGA) for a relaxed structure of YMnTlBr6.

## Properties
As for the crystal system: trigonal. The raw formation energy is -1.295 eV per atom.

a = 7.1574 Å, b = 7.1574 Å, c = 14.6793 Å
α = 90.00°, β = 90.00°, γ = 120.00°
Space group P-31c (No. 163)
Inequivalent atoms, fractional coordinates:
Y  0.3333  0.6667  0.2500 (multiplicity 2)
Mn  0.3333  0.6667  0.7500 (multiplicity 2)
Tl  0.0000  0.0000  0.0000 (multiplicity 2)
Br  0.0117  0.3774  0.6419 (multiplicity 12)

---

Density functional theory data (PBE-GGA) for a relaxed structure of Rb3WCl6.

## Properties
As for the crystal system: cubic. The raw formation energy is -1.410 eV per atom.

a = 11.080 Å, b = 11.080 Å, c = 11.080 Å
α = 90.00°, β = 90.00°, γ = 90.00°
Space group Fm-3m (No. 225)
Inequivalent atoms, fractional coordinates:
Rb  0.000  0.000  0.000 (multiplicity 4)
Rb  0.250  0.250  0.250 (multiplicity 8)
W  0.000  0.000  0.500 (multiplicity 4)
Cl  0.000  0.000  0.279 (multiplicity 24)

---

Density functional theory data (PBE-GGA) for a relaxed structure of NaScZn10.

## Properties
The calculation puts the formation energy at -0.11 eV/atom. As for the crystal system: orthorhombic.

a = 4.269 Å, b = 5.210 Å, c = 9.077 Å
α = 90.00°, β = 90.00°, γ = 90.00°
Space group Pmmm (No. 47)
Inequivalent atoms, fractional coordinates:
Na  0.000  0.000  0.000 (multiplicity 1)
Sc  0.000  0.500  0.500 (multiplicity 1)
Zn  0.000  0.000  0.334 (multiplicity 2)
Zn  0.000  0.500  0.169 (multiplicity 2)
Zn  0.500  0.000  0.500 (multiplicity 1)
Zn  0.500  0.258  0.263 (multiplicity 4)
Zn  0.500  0.500  0.000 (multiplicity 1)

---

Density functional theory data (PBE-GGA) for a relaxed structure of Pm3Pr4Er.

## Properties
The calculation puts the formation energy at 0.02 eV/atom. As for the crystal system: monoclinic. As for the energy above the most stable polymorph in this dataset: 0 kJ/mol of formula units.

a = 24.639 Å, b = 3.680 Å, c = 6.370 Å
α = 90.00°, β = 104.98°, γ = 90.00°
Space group C2/m (No. 12)
Inequivalent atoms, fractional coordinates:
Pm  0.000  0.000  0.000 (multiplicity 2)
Pm  0.249  0.500  0.749 (multiplicity 4)
Pr  0.124  0.000  0.455 (multiplicity 4)
Pr  0.125  0.500  0.957 (multiplicity 4)
Er  0.000  0.500  0.500 (multiplicity 2)

---

Density functional theory data (PBE-GGA) for a relaxed structure of NaNbN2O.

## Properties
As for the crystal system: tetragonal. The raw formation energy is 1.451 eV per atom.

a = 3.915 Å, b = 3.915 Å, c = 3.753 Å
α = 90.00°, β = 90.00°, γ = 90.00°
Space group P4/mmm (No. 123)
Inequivalent atoms, fractional coordinates:
Na  0.000  0.000  0.000 (multiplicity 1)
Nb  0.500  0.500  0.500 (multiplicity 1)
N  0.000  0.500  0.000 (multiplicity 2)
O  0.000  0.000  0.500 (multiplicity 1)